Below is crystalline Sr4Al6CrO16 at its relaxed geometry, with properties calculated at the PBE with a Hubbard U level.

Cell: 9.4933 9.4933 9.6413 Å, 90.00 90.00 90.00°
Space group I-4m2 (No. 119)
Unique sites:
Sr (0.2433, 0.2433, 0.0000)
Al (0.0000, 0.0000, 0.0000)
Al (0.0000, 0.0000, 0.5000)
Al (0.0000, 0.2486, 0.2532)
Cr (0.0000, 0.5000, 0.7500)
O (0.0000, 0.1553, 0.0966)
O (0.0000, 0.1635, 0.4146)
O (0.0000, 0.3565, 0.8514)
O (0.1612, 0.3388, 0.2500)

## Properties
Volume, Å³/cell: 869
M_tot, μB/f.u.: 0.00
E_tot, eV per atom: -7.135